[1]
Density functional theory data (PBE) for an optimized crystal structure of InAs2PdBr.

Calculated values
- formation energy without anion corrections (eV per formula unit) = 1.1
- energy above the lowest structure with this stoichiometry (meV per atom) = 0
- N(E_F) (states/eV/f.u.) = 1.95
- VASP energy (eV per atom) = -3.554

Structure (CIF):
```
data_InAs2PdBr
_space_group_name_H-M_alt 'P 4/m m m'
_space_group_IT_number 123
_space_group_name_Hall '-P 4 2'
_cell_length_a 4.697
_cell_length_b 4.697
_cell_length_c 7.554
_cell_angle_alpha 90.00
_cell_angle_beta 90.00
_cell_angle_gamma 90.00
loop_
_atom_site_label
_atom_site_type_symbol
_atom_site_fract_x
_atom_site_fract_y
_atom_site_fract_z
In1 In 0.000 0.000 0.000
As1 As 0.000 0.500 0.500
Pd1 Pd 0.500 0.500 0.500
Br1 Br 0.500 0.500 0.000
```

***

[2]
Density functional theory data (PBE) for an optimized crystal structure of PrU2WC4.

Calculated values
- N(E_F) (states/eV/f.u.) = 9.49
- VASP energy (eV per atom) = -9.633

Structure (CIF):
```
data_PrU2WC4
_space_group_name_H-M_alt 'C m c m'
_space_group_IT_number 63
_space_group_name_Hall '-C 2c 2'
_cell_length_a 3.657
_cell_length_b 11.815
_cell_length_c 11.793
_cell_angle_alpha 90.00
_cell_angle_beta 90.00
_cell_angle_gamma 90.00
loop_
_atom_site_label
_atom_site_type_symbol
_atom_site_fract_x
_atom_site_fract_y
_atom_site_fract_z
Pr1 Pr 0.000 0.118 0.250
U1 U 0.000 0.373 0.043
W1 W 0.000 0.145 0.750
C1 C 0.000 0.000 0.000
C2 C 0.000 0.253 0.616
C3 C 0.000 0.435 0.250
```

***

[3]
Density functional theory data (PBE) for an optimized crystal structure of RhWBr2.

Calculated values
- formation energy without anion corrections (eV per formula unit) = 1.5
- energy above the lowest structure with this stoichiometry (meV per atom) = 294
- N(E_F) (states/eV/f.u.) = 2.99
- VASP energy (eV per atom) = -5.547

Structure (CIF):
```
data_RhWBr2
_space_group_name_H-M_alt 'I m m m'
_space_group_IT_number 71
_space_group_name_Hall '-I 2 2'
_cell_length_a 3.087
_cell_length_b 4.404
_cell_length_c 14.670
_cell_angle_alpha 90.00
_cell_angle_beta 90.00
_cell_angle_gamma 90.00
loop_
_atom_site_label
_atom_site_type_symbol
_atom_site_fract_x
_atom_site_fract_y
_atom_site_fract_z
Rh1 Rh 0.000 0.000 0.000
W1 W 0.000 0.000 0.500
Br1 Br 0.000 0.500 0.143
```

***

[4]
Density functional theory data (PBE) for an optimized crystal structure of BaNa2TlC.

Calculated values
- N(E_F) (states/eV/f.u.) = 3.78
- VASP energy (eV per atom) = -2.293

Structure (CIF):
```
data_BaNa2TlC
_space_group_name_H-M_alt 'P 4/m m m'
_space_group_IT_number 123
_space_group_name_Hall '-P 4 2'
_cell_length_a 5.796
_cell_length_b 5.796
_cell_length_c 4.713
_cell_angle_alpha 90.00
_cell_angle_beta 90.00
_cell_angle_gamma 90.00
loop_
_atom_site_label
_atom_site_type_symbol
_atom_site_fract_x
_atom_site_fract_y
_atom_site_fract_z
Ba1 Ba 0.000 0.000 0.000
Na1 Na 0.000 0.500 0.500
Tl1 Tl 0.500 0.500 0.500
C1 C 0.500 0.500 0.000
```

***

[5]
Density functional theory data (PBE) for an optimized crystal structure of BaLa2Sm.

Calculated values
- energy above the lowest structure with this stoichiometry (meV per atom) = 13
- N(E_F) (states/eV/f.u.) = 6.54
- VASP energy (eV per atom) = -4.015

Structure (CIF):
```
data_BaLa2Sm
_space_group_name_H-M_alt 'R 3 m'
_space_group_IT_number 160
_space_group_name_Hall 'R 3 -2"'
_cell_length_a 3.8365
_cell_length_b 3.8365
_cell_length_c 38.0886
_cell_angle_alpha 90.00
_cell_angle_beta 90.00
_cell_angle_gamma 120.00
loop_
_atom_site_label
_atom_site_type_symbol
_atom_site_fract_x
_atom_site_fract_y
_atom_site_fract_z
Ba1 Ba 0.0000 0.0000 0.0000
La1 La 0.0000 0.0000 0.4252
La2 La 0.0000 0.0000 0.5767
Sm1 Sm 0.0000 0.0000 0.1675
```

***

[6]
Density functional theory data (PBE) for an optimized crystal structure of AlZnSb2I.

Calculated values
- formation energy without anion corrections (eV per formula unit) = 2.5
- energy above the lowest structure with this stoichiometry (meV per atom) = 0
- N(E_F) (states/eV/f.u.) = 4.99
- VASP energy (eV per atom) = -2.456

Structure (CIF):
```
data_AlZnSb2I
_space_group_name_H-M_alt 'P 4/m m m'
_space_group_IT_number 123
_space_group_name_Hall '-P 4 2'
_cell_length_a 5.362
_cell_length_b 5.362
_cell_length_c 5.596
_cell_angle_alpha 90.00
_cell_angle_beta 90.00
_cell_angle_gamma 90.00
loop_
_atom_site_label
_atom_site_type_symbol
_atom_site_fract_x
_atom_site_fract_y
_atom_site_fract_z
Al1 Al 0.000 0.000 0.000
Zn1 Zn 0.500 0.500 0.500
Sb1 Sb 0.000 0.500 0.000
I1 I 0.000 0.000 0.500
```

***

[7]
Density functional theory data (PBE) for an optimized crystal structure of ScZn2AgC.

Calculated values
- N(E_F) (states/eV/f.u.) = 4.28
- VASP energy (eV per atom) = -2.079

Structure (CIF):
```
data_ScZn2AgC
_space_group_name_H-M_alt 'P 4/m m m'
_space_group_IT_number 123
_space_group_name_Hall '-P 4 2'
_cell_length_a 5.405
_cell_length_b 5.405
_cell_length_c 5.307
_cell_angle_alpha 90.00
_cell_angle_beta 90.00
_cell_angle_gamma 90.00
loop_
_atom_site_label
_atom_site_type_symbol
_atom_site_fract_x
_atom_site_fract_y
_atom_site_fract_z
Sc1 Sc 0.000 0.000 0.000
Zn1 Zn 0.000 0.500 0.000
Ag1 Ag 0.000 0.000 0.500
C1 C 0.500 0.500 0.500
```

***

[8]
Density functional theory data (PBE) for an optimized crystal structure of Cs2LiPd3F12.

Calculated values
- formation energy without anion corrections (eV per formula unit) = -33.8
- N(E_F) (states/eV/f.u.) = 4.63
- VASP energy (eV per atom) = -4.190

Structure (CIF):
```
data_Cs2LiPd3F12
_space_group_name_H-M_alt 'R -3 m'
_space_group_IT_number 166
_space_group_name_Hall '-R 3 2"'
_cell_length_a 7.8025
_cell_length_b 7.8025
_cell_length_c 17.7758
_cell_angle_alpha 90.00
_cell_angle_beta 90.00
_cell_angle_gamma 120.00
loop_
_atom_site_label
_atom_site_type_symbol
_atom_site_fract_x
_atom_site_fract_y
_atom_site_fract_z
Cs1 Cs 0.0000 0.0000 0.1343
Li1 Li 0.0000 0.0000 0.5000
Pd1 Pd 0.0000 0.5000 0.0000
F1 F 0.0679 0.5339 0.1072
F2 F 0.0810 0.5405 0.3588
```

***

[9]
Density functional theory data (PBE) for an optimized crystal structure of Nd3Zn8.

Calculated values
- N(E_F) (states/eV/f.u.) = 10.42
- VASP energy (eV per atom) = -2.546

Structure (CIF):
```
data_Nd3Zn8
_space_group_name_H-M_alt 'I m m m'
_space_group_IT_number 71
_space_group_name_Hall '-I 2 2'
_cell_length_a 3.984
_cell_length_b 4.405
_cell_length_c 26.372
_cell_angle_alpha 90.00
_cell_angle_beta 90.00
_cell_angle_gamma 90.00
loop_
_atom_site_label
_atom_site_type_symbol
_atom_site_fract_x
_atom_site_fract_y
_atom_site_fract_z
Nd1 Nd 0.000 0.000 0.000
Nd2 Nd 0.000 0.500 0.149
Zn1 Zn 0.000 0.000 0.253
Zn2 Zn 0.000 0.000 0.451
Zn3 Zn 0.000 0.500 0.307
Zn4 Zn 0.000 0.500 0.403
```

***

[10]
Density functional theory data (PBE) for an optimized crystal structure of BaMnBe.

Calculated values
- energy above the lowest structure with this stoichiometry (meV per atom) = 881
- N(E_F) (states/eV/f.u.) = 2.30
- VASP energy (eV per atom) = -3.473

Structure (CIF):
```
data_BaMnBe
_space_group_name_H-M_alt 'F -4 3 m'
_space_group_IT_number 216
_space_group_name_Hall 'F -4 2 3'
_cell_length_a 7.353
_cell_length_b 7.353
_cell_length_c 7.353
_cell_angle_alpha 90.00
_cell_angle_beta 90.00
_cell_angle_gamma 90.00
loop_
_atom_site_label
_atom_site_type_symbol
_atom_site_fract_x
_atom_site_fract_y
_atom_site_fract_z
Ba1 Ba 0.000 0.000 0.000
Mn1 Mn 0.250 0.250 0.750
Be1 Be 0.250 0.250 0.250
```

***

[11]
Density functional theory data (PBE) for an optimized crystal structure of Ac3Pr2NdY6.

Calculated values
- N(E_F) (states/eV/f.u.) = 13.10
- VASP energy (eV per atom) = -5.423

Structure (CIF):
```
data_Ac3Pr2NdY6
_space_group_name_H-M_alt 'C 1 2/m 1'
_space_group_IT_number 12
_cell_length_a 6.474
_cell_length_b 11.212
_cell_length_c 12.035
_cell_angle_alpha 90.00
_cell_angle_beta 100.33
_cell_angle_gamma 90.00
loop_
_space_group_symop_operation_xyz
'x,y,z'
'-x,-y,-z'
'-x,y,-z'
'x,-y,z'
'x+1/2,y+1/2,z'
'-x+1/2,-y+1/2,-z'
'-x+1/2,y+1/2,-z'
'x+1/2,-y+1/2,z'
loop_
_atom_site_label
_atom_site_type_symbol
_atom_site_fract_x
_atom_site_fract_y
_atom_site_fract_z
Ac1 Ac 0.000 0.000 0.000
Ac2 Ac 0.000 0.333 0.000
Pr1 Pr 0.000 0.167 0.500
Nd1 Nd 0.000 0.500 0.500
Y1 Y 0.248 0.000 0.745
Y2 Y 0.248 0.333 0.744
```

***

[12]
Density functional theory data (PBE) for an optimized crystal structure of LaSeBr2.

Calculated values
- formation energy without anion corrections (eV per formula unit) = -5.3
- energy above the lowest structure with this stoichiometry (meV per atom) = 145
- VASP energy (eV per atom) = -4.259

Structure (CIF):
```
data_LaSeBr2
_space_group_name_H-M_alt 'I m m 2'
_space_group_IT_number 44
_cell_length_a 4.085
_cell_length_b 5.410
_cell_length_c 13.262
_cell_angle_alpha 90.00
_cell_angle_beta 90.00
_cell_angle_gamma 90.00
loop_
_space_group_symop_operation_xyz
'x,y,z'
'-x,-y,z'
'-x,y,z'
'x,-y,z'
'x+1/2,y+1/2,z+1/2'
'-x+1/2,-y+1/2,z+1/2'
'-x+1/2,y+1/2,z+1/2'
'x+1/2,-y+1/2,z+1/2'
loop_
_atom_site_label
_atom_site_type_symbol
_atom_site_fract_x
_atom_site_fract_y
_atom_site_fract_z
La1 La 0.000 0.000 0.000
Se1 Se 0.000 0.500 0.660
Br1 Br 0.000 0.000 0.524
Br2 Br 0.000 0.500 0.335
```